VASP calculation (PBE-GGA) on a relaxed structure of SrBeSe2.

The symmetry is I-4m2 (119). As for the density of states at the Fermi level: 1.1 states/eV per cell. The value obtained for the total energy is -3.492 eV/atom.

The structure in POSCAR format:
```
SrBeSe2
1.0
-1.653 -3.348 -5.306
-1.635 -6.268 -0.370
-1.107 5.501 3.257
Sr Se Be
1 2 1
Cartesian
-1.644 -4.808 -2.838 Sr
0.000 0.000 0.000 Se
-2.193 -2.788 0.025 Se
-2.202 -1.328 -2.443 Be
```